Entry from Alexandria: a relaxed CaLa2PuAs4 crystal (PBE-GGA).

a = 7.3762 Å, b = 4.3113 Å, c = 7.4131 Å
α = 90.00°, β = 109.40°, γ = 90.00°
Space group P2/m (No. 10)
One atom of each set of equivalent atoms:
Ca1 0.0000 0.0000 0.0000 (multiplicity 1)
La1 0.5000 0.0000 0.5000 (multiplicity 1)
La2 0.5000 0.5000 0.0000 (multiplicity 1)
Pu1 0.0000 0.5000 0.5000 (multiplicity 1)
As1 0.2362 0.0000 0.7376 (multiplicity 2)
As2 0.2405 0.5000 0.2577 (multiplicity 2)

- Total DFT energy (no corrections): -54.897 eV/cell
- Energy of formation: -1.264 eV per atom
- Total magnetic moment: 4.0 μB per cell